1.
A geometry-optimized BaBeW2Au structure, computed with PBE-GGA.

Cell: 5.172 4.472 5.172 Å, 90.00 90.00 90.00°
Each line ends with the local moment (μB).
Element x y z (fractional)
1 Ba 0.500 0.500 0.500  0.10
2 W 0.000 0.000 0.500  1.45
3 W 0.500 0.000 0.000  1.26
4 Be 0.000 0.500 0.000  -0.04
5 Au 0.000 0.000 0.000  0.06

Values from the calculation:
Space group   P4/mmm, No. 123
Energy of formation from the pure elements   39.588 kcal/mol of atoms


2.
A geometry-optimized Ba2BeZnAu6 structure, computed with PBE-GGA.

Cell: 7.177 6.696 7.156 Å, 62.35 55.77 90.05°
Element x y z (fractional)
1 Au 0.186 0.260 0.481
2 Au 0.258 0.740 0.074
3 Au 0.814 0.740 0.519
4 Au 0.262 0.187 0.069
5 Au 0.738 0.813 0.931
6 Au 0.742 0.260 0.926
7 Zn 0.000 0.000 0.000
8 Ba 0.719 0.282 0.435
9 Ba 0.281 0.718 0.565
10 Be 0.500 0.500 0.000

Values from the calculation:
Space group   P-1, No. 2
Energy of formation from the pure elements   -11.845 kcal/mol of atoms


3.
A geometry-optimized BaBi2Au structure, computed with PBE-GGA.

Cell: 4.448 4.448 10.128 Å, 77.31 77.31 60.00°
Each line ends with the local moment (μB).
Element x y z (fractional)
1 Ba 0.000 0.000 0.000  0.12
2 Bi 0.122 0.122 0.633  0.01
3 Bi 0.878 0.878 0.367  0.01
4 Au 0.500 0.500 0.500  0.00

Values from the calculation:
Space group   R-3m, No. 166
Energy of formation from the pure elements   0.545 kcal/mol of atoms


4.
A geometry-optimized BaBiAu6 structure, computed with PBE-GGA.

Cell: 5.719 5.719 5.719 Å, 90.00 90.00 90.00°
Element x y z (fractional)
1 Au 0.755 0.000 0.500
2 Au 0.500 0.245 0.000
3 Au 0.500 0.755 0.000
4 Au 0.000 0.500 0.245
5 Au 0.000 0.500 0.755
6 Au 0.245 0.000 0.500
7 Ba 0.500 0.500 0.500
8 Bi 0.000 0.000 0.000

Values from the calculation:
Space group   Pm-3, No. 200
Energy of formation from the pure elements   -2.012 kcal/mol of atoms


5.
A geometry-optimized BaBi3Au structure, computed with PBE-GGA.

Cell: 6.356 6.356 6.356 Å, 90.00 90.00 90.00°
Element x y z (fractional)
1 Bi 0.000 0.500 0.000
2 Bi 0.500 0.000 0.000
3 Bi 0.000 0.000 0.500
4 Ba 0.000 0.000 0.000
5 Au 0.500 0.500 0.500

Values from the calculation:
Space group   Pm-3m, No. 221
Energy of formation from the pure elements   25.811 kcal/mol of atoms


6.
A geometry-optimized BaBiAu10 structure, computed with PBE-GGA.

Cell: 4.645 5.759 9.938 Å, 90.00 90.00 90.00°
Element x y z (fractional)
1 Au 0.000 0.500 0.844
2 Au 0.500 0.500 0.000
3 Au 0.500 0.749 0.751
4 Au 0.000 0.000 0.321
5 Au 0.000 0.000 0.679
6 Au 0.500 0.000 0.500
7 Au 0.000 0.500 0.156
8 Au 0.500 0.251 0.249
9 Au 0.500 0.251 0.751
10 Au 0.500 0.749 0.249
11 Bi 0.000 0.000 0.000
12 Ba 0.000 0.500 0.500

Values from the calculation:
Space group   Pmmm, No. 47
Energy of formation from the pure elements   -4.814 kcal/mol of atoms


7.
A geometry-optimized Ba3Bi3Au structure, computed with PBE-GGA.

Cell: 5.141 5.033 11.332 Å, 102.83 103.11 90.00°
Element x y z (fractional)
1 Bi 0.855 0.355 0.711
2 Bi 0.153 0.653 0.306
3 Bi 0.562 0.562 0.124
4 Ba 0.681 0.181 0.363
5 Ba 0.322 0.822 0.644
6 Ba 0.995 0.995 0.991
7 Au 0.431 0.431 0.862

Values from the calculation:
Space group   Imm2, No. 44
Energy of formation from the pure elements   -17.387 kcal/mol of atoms


8.
A geometry-optimized Ba3Bi2Au4 structure, computed with PBE-GGA.

Cell: 4.927 6.760 9.815 Å, 104.61 90.00 111.37°
Element x y z (fractional)
1 Bi 0.613 0.226 0.280
2 Bi 0.387 0.774 0.720
3 Ba 0.663 0.326 0.671
4 Ba 0.337 0.674 0.329
5 Ba 0.000 0.000 0.000
6 Au 0.275 0.551 0.950
7 Au 0.946 0.891 0.606
8 Au 0.054 0.109 0.394
9 Au 0.725 0.449 0.050

Values from the calculation:
Space group   C2/m, No. 12
Energy of formation from the pure elements   -17.069 kcal/mol of atoms